{"formula": "PdPtRh2W", "functional": "GGA-PBE", "state": "optimized geometry", "lattice": [[2.7225, 0.0000, 0.0000], [0.0000, 7.0863, 1.2958], [0.0000, 1.3321, 8.4403]], "species": ["Pd", "Rh", "Rh", "Pt", "Rh", "Pt", "W", "Rh", "W", "Pd"], "fractional_positions": [[0.2500, 0.6071, 0.8523], [0.7500, 0.9928, 0.2294], [0.2500, 0.0072, 0.7706], [0.7500, 0.6031, 0.3565], [0.2500, 0.8296, 0.5217], [0.2500, 0.3969, 0.6435], [0.7500, 0.7905, 0.0382], [0.7500, 0.1704, 0.4783], [0.2500, 0.2095, 0.9618], [0.7500, 0.3929, 0.1477]], "formation_energy_ev_per_atom": 0.11, "total_magnetization_mub_per_fu": 0.00, "sg": "No. 11"}

***

{"formula": "NpO3", "functional": "GGA-PBE", "state": "optimized geometry", "lattice": [[3.4450, 0.0000, 0.0000], [0.0000, 3.4450, 0.0000], [0.0000, 0.0000, 3.4450]], "species": ["Np", "O", "O", "O"], "fractional_positions": [[0.0000, 0.0000, 0.0000], [0.0000, 0.5000, 0.5000], [0.5000, 0.5000, 0.0000], [0.5000, 0.0000, 0.5000]], "polymorph_energy_mev_per_atom": 1078, "total_magnetization_mub_per_fu": 3.60, "sg": "No. 221"}

***

{"formula": "Pm6Pr2Cd", "functional": "GGA-PBE", "state": "optimized geometry", "lattice": [[3.6211, 0.0000, -0.1543], [0.0000, 10.5054, 0.0000], [-1.4731, -5.2527, 8.1255]], "species": ["Pr", "Pm", "Pm", "Cd", "Pm", "Pm", "Pm", "Pr", "Pm"], "fractional_positions": [[0.1459, 0.6448, 0.2896], [0.8202, 0.9790, 0.6398], [0.1798, 0.3392, 0.3602], [0.0000, 0.0000, 0.0000], [0.5000, 0.7216, 0.0000], [0.5000, 0.2784, 0.0000], [0.8202, 0.6608, 0.6398], [0.8541, 0.3552, 0.7104], [0.1798, 0.0210, 0.3602]], "formation_energy_ev_per_atom": 0.03, "polymorph_energy_mev_per_atom": 38, "total_magnetization_mub_per_fu": 0.00, "sg": "No. 71"}

***

{"formula": "LaNdCd2", "functional": "GGA-PBE", "state": "optimized geometry", "lattice": [[-5.1396, 1.2801, -1.5226], [-2.0312, -1.9343, -4.7440], [-3.9330, -3.8601, 0.0567]], "species": ["La", "Cd", "Cd", "Nd"], "fractional_positions": [[0.5000, 0.5000, 0.5000], [0.2500, 0.2500, 0.2500], [0.7500, 0.7500, 0.7500], [0.0000, 0.0000, 0.0000]], "formation_energy_ev_per_atom": -0.32, "total_magnetization_mub_per_fu": 0.79, "sg": "No. 225"}

***

{"formula": "NbMoH2", "functional": "GGA-PBE", "state": "optimized geometry", "lattice": [[0.0000, 2.7193, 2.7193], [2.7193, 0.0000, 2.7193], [2.7193, 2.7193, 0.0000]], "species": ["H", "Nb", "H", "Mo"], "fractional_positions": [[0.2500, 0.2500, 0.2500], [0.0000, 0.0000, 0.0000], [0.7500, 0.7500, 0.7500], [0.5000, 0.5000, 0.5000]], "polymorph_energy_mev_per_atom": 564, "total_magnetization_mub_per_fu": 0.00, "sg": "No. 225"}

***

{"formula": "Mg4Si7", "functional": "GGA-PBE", "state": "optimized geometry", "lattice": [[3.9507, 0.0000, 0.0000], [0.0000, 6.7522, 0.0040], [0.0000, 0.6029, 14.6323]], "species": ["Si", "Si", "Si", "Si", "Si", "Mg", "Si", "Si", "Mg", "Si", "Si", "Si", "Mg", "Mg", "Mg", "Mg", "Mg", "Mg", "Si", "Si", "Si", "Si"], "fractional_positions": [[0.0000, 0.8659, 0.1934], [0.0000, 0.7482, 0.0374], [0.0000, 0.9573, 0.8179], [0.5000, 0.2418, 0.3059], [0.5000, 0.4486, 0.6821], [0.0000, 0.6492, 0.5809], [0.5000, 0.9551, 0.5623], [0.5000, 0.1992, 0.8111], [0.0000, 0.5406, 0.8114], [0.5000, 0.8025, 0.7182], [0.0000, 0.3816, 0.0392], [0.0000, 0.2336, 0.1951], [0.5000, 0.3392, 0.4958], [0.5000, 0.0619, 0.0643], [0.0000, 0.5341, 0.3438], [0.5000, 0.5529, 0.1631], [0.0000, 0.1651, 0.6489], [0.0000, 0.0336, 0.4225], [0.5000, 0.7837, 0.9258], [0.5000, 0.7236, 0.4437], [0.5000, 0.8781, 0.2936], [0.5000, 0.4079, 0.9401]], "polymorph_energy_mev_per_atom": 16, "total_magnetization_mub_per_fu": 0.00, "sg": "No. 6"}

***

{"formula": "Sr3Cu3Si", "functional": "GGA-PBE", "state": "optimized geometry", "lattice": [[4.2606, 0.0000, 0.6418], [2.0966, 5.8795, 0.5445], [0.0035, 0.0801, 14.4397]], "species": ["Sr", "Cu", "Sr", "Si", "Cu", "Cu", "Si", "Sr", "Sr", "Sr", "Cu", "Cu", "Sr", "Cu"], "fractional_positions": [[0.2538, 0.2590, 0.2333], [0.7971, 0.8707, 0.5351], [0.6032, 0.7141, 0.0795], [0.2439, 0.9001, 0.6120], [0.2029, 0.1293, 0.4649], [0.9114, 0.0990, 0.0781], [0.7561, 0.0999, 0.3880], [0.5236, 0.3392, 0.6136], [0.7462, 0.7410, 0.7667], [0.3968, 0.2859, 0.9205], [0.0886, 0.9010, 0.9219], [0.0586, 0.1221, 0.7607], [0.4764, 0.6608, 0.3864], [0.9414, 0.8779, 0.2393]], "e_tot_ev_per_atom": -3.424, "total_magnetization_mub_per_fu": 0.00, "sg": "No. 12"}

***

{"formula": "CePuAs2", "functional": "GGA-PBE", "state": "optimized geometry", "lattice": [[-3.0780, -2.7420, -0.2459], [0.6672, -3.7067, -1.6935], [0.9978, -4.7448, 5.7435]], "species": ["Pu", "Ce", "As", "As"], "fractional_positions": [[0.6687, 0.6687, 0.9939], [0.4980, 0.4980, 0.5060], [0.0800, 0.0800, 0.7599], [0.2532, 0.2532, 0.2403]], "formation_energy_ev_per_atom": -1.09, "polymorph_energy_mev_per_atom": 142, "total_magnetization_mub_per_fu": 6.00, "sg": "No. 160"}

***

{"formula": "Ce3Tl2Ru2", "functional": "GGA-PBE", "state": "optimized geometry", "lattice": [[3.8404, 0.0665, 0.4546], [-1.9689, 5.8437, -0.6623], [1.0528, -1.4737, 7.8115]], "species": ["Ru", "Tl", "Ru", "Tl", "Ce", "Ce", "Ce"], "fractional_positions": [[0.3249, 0.8213, 0.1749], [0.1275, 0.8228, 0.5673], [0.6751, 0.1787, 0.8251], [0.8725, 0.1772, 0.4327], [0.3494, 0.4857, 0.7873], [0.0000, 0.0000, 0.0000], [0.6506, 0.5143, 0.2127]], "formation_energy_ev_per_atom": -0.28, "total_magnetization_mub_per_fu": 0.96, "sg": "No. 2"}

***

{"formula": "Pm6GaGe2", "functional": "GGA-PBE", "state": "optimized geometry", "lattice": [[-3.2237, -2.0708, -1.9899], [4.7795, -6.5470, -0.9296], [-4.6170, 0.7645, 6.6840]], "species": ["Pm", "Pm", "Pm", "Ge", "Pm", "Ga", "Ge", "Pm", "Pm"], "fractional_positions": [[0.0000, 0.9998, 0.2686], [0.0000, 0.2690, 0.0000], [0.0000, 0.7312, 0.7314], [0.0000, 0.3332, 0.6665], [0.5000, 0.0000, 0.5904], [0.5000, 0.0003, 0.0000], [0.0000, 0.6667, 0.3335], [0.5000, 0.5903, 0.0000], [0.5000, 0.4096, 0.4096]], "formation_energy_ev_per_atom": -0.53, "polymorph_energy_mev_per_atom": 7, "total_magnetization_mub_per_fu": 0.69, "sg": "No. 189"}

***

{"formula": "SrAgC2O6", "functional": "GGA-PBE", "state": "optimized geometry", "lattice": [[6.7726, -0.5746, -0.0625], [-1.3994, 6.6513, -0.0625], [-1.6205, -1.8327, 6.5173]], "species": ["C", "O", "Ag", "O", "Sr", "C", "O", "C", "Sr", "O", "C", "Ag", "O", "O", "O", "O", "O", "O", "O", "O"], "fractional_positions": [[0.8980, 0.6012, 0.7811], [0.0711, 0.2226, 0.0767], [0.8854, 0.1146, 0.7500], [0.5283, 0.7222, 0.1305], [0.5930, 0.4070, 0.2500], [0.3988, 0.1020, 0.7189], [0.9289, 0.7774, 0.9233], [0.1020, 0.3988, 0.2189], [0.4070, 0.5930, 0.7500], [0.7222, 0.5283, 0.6305], [0.6012, 0.8980, 0.2811], [0.1146, 0.8854, 0.2500], [0.4717, 0.2778, 0.8695], [0.7774, 0.9289, 0.4233], [0.2226, 0.0711, 0.5767], [0.0376, 0.5068, 0.7915], [0.2778, 0.4717, 0.3695], [0.4932, 0.9624, 0.7085], [0.9624, 0.4932, 0.2085], [0.5068, 0.0376, 0.2915]], "e_tot_ev_per_atom": -6.787, "total_magnetization_mub_per_fu": 0.00, "sg": "No. 15"}

***

{"formula": "Ce2Al3Zn4Cd", "functional": "GGA-PBE", "state": "optimized geometry", "lattice": [[4.3085, 0.0000, 0.0000], [0.0000, 4.3085, 0.0000], [0.0000, 0.0000, 10.7744]], "species": ["Al", "Zn", "Zn", "Ce", "Zn", "Al", "Ce", "Cd", "Zn", "Al"], "fractional_positions": [[0.0000, 0.0000, 0.5000], [0.5000, 0.0000, 0.6440], [0.0000, 0.0000, 0.0000], [0.5000, 0.0000, 0.2378], [0.5000, 0.5000, 0.0000], [0.5000, 0.0000, 0.8707], [0.0000, 0.5000, 0.7622], [0.5000, 0.5000, 0.5000], [0.0000, 0.5000, 0.3560], [0.0000, 0.5000, 0.1293]], "formation_energy_ev_per_atom": -0.31, "total_magnetization_mub_per_fu": 1.35, "sg": "No. 115"}